No. 1
Compound: In3AgC
Source: Alexandria via LeMat-Bulk
Functional: GGA-PBE
Structure: optimized geometry

Summary:
- energy above the lowest structure with this stoichiometry (meV/atom) = 0
- raw total energy (eV/atom) = -3.250
- density (Mg/m³) = 7.1
- N(E_F) (states/eV/cell) = 3.24
- space-group type = Pm-3m

The structure in extended XYZ format:
```
5
Lattice="-1.084 4.077 2.214 -4.245 -1.789 1.216 1.872 -1.696 4.039" Properties=species:S:1:pos:R:3 pbc="T T T"
Ag -1.728 0.296 3.735
In -0.542 2.038 1.107
In -2.122 -0.894 0.608
In 0.936 -0.848 2.020
C 0.000 0.000 0.000
```

No. 2
Compound: InAgC
Source: Alexandria via LeMat-Bulk
Functional: GGA-PBE
Structure: optimized geometry

Summary:
- raw total energy (eV/atom) = -4.251
- density (Mg/m³) = 5.9
- N(E_F) (states/eV/cell) = 0.39
- space-group type = P1

The structure in extended XYZ format:
```
6
Lattice="-2.930 3.686 -5.253 -1.120 -2.402 -2.203 -4.120 -1.795 4.063" Properties=species:S:1:pos:R:3 pbc="T T T"
C -4.631 0.502 -0.594
C -5.833 0.810 -0.313
In -6.320 0.320 -4.941
In -3.826 -0.755 -2.328
Ag -1.532 -2.147 -1.959
Ag -3.453 1.009 -4.451
```

no.,DFT formation energy (kJ/mol of atoms)
1,78.0
2,66.2